[1]
Compound: Rb3Cu2F9
Source: Alexandria
Functional: PBE
Structure: relaxed

The structure in POSCAR format:
```
Rb3Cu2F9
1.0
7.7831 0.0943 0.7990
0.7307 7.7493 0.7990
0.1024 0.0943 7.8233
F Rb Cu
18 6 4
direct
0.5948 0.7553 0.4422 F
0.0578 0.7447 0.9052 F
0.2553 0.0948 0.9422 F
0.7500 0.6070 0.8930 F
0.5578 0.4052 0.2447 F
0.2500 0.3930 0.1070 F
0.9422 0.2553 0.0948 F
0.4052 0.2447 0.5578 F
0.6070 0.8930 0.7500 F
0.7553 0.4422 0.5948 F
0.1070 0.2500 0.3930 F
0.7447 0.9052 0.0578 F
0.9052 0.0578 0.7447 F
0.0948 0.9422 0.2553 F
0.3930 0.1070 0.2500 F
0.4422 0.5948 0.7553 F
0.8930 0.7500 0.6070 F
0.2447 0.5578 0.4052 F
0.2500 0.9046 0.5954 Rb
0.9046 0.5954 0.2500 Rb
0.5954 0.2500 0.9046 Rb
0.4046 0.7500 0.0954 Rb
0.7500 0.0954 0.4046 Rb
0.0954 0.4046 0.7500 Rb
0.6593 0.6593 0.6593 Cu
0.8407 0.8407 0.8407 Cu
0.1593 0.1593 0.1593 Cu
0.3407 0.3407 0.3407 Cu
```

Properties
* E_form (uncorrected): -2.0556 eV/atom
* SG: R-3c (167)

=====

[2]
Compound: Rb2CuF2
Source: Alexandria
Functional: PBE
Structure: relaxed

The structure in POSCAR format:
```
Rb2CuF2
1.0
8.2085 0.0000 0.0000
0.0000 8.2085 0.0000
0.0000 0.0000 3.2568
Rb F Cu
4 4 2
direct
0.3535 0.8535 0.0000 Rb
0.8535 0.6465 0.0000 Rb
0.6465 0.1465 0.0000 Rb
0.1465 0.3535 0.0000 Rb
0.3517 0.1483 0.5000 F
0.6483 0.8517 0.5000 F
0.8517 0.3517 0.5000 F
0.1483 0.6483 0.5000 F
0.0000 0.0000 0.0000 Cu
0.5000 0.5000 0.0000 Cu
```

Properties
* E_form (uncorrected): -1.4044 eV/atom
* density of states at the Fermi level: 0.1756 states/eV/atom
* excess energy over the best structure of this formula in the dataset: 0.00 eV/f.u.
* SG: P4/mbm (127)